Material: PaAl2Cu
Method: DFT, PBE-GGA
State: optimized geometry

```
data_PaAl2Cu
_chemical_formula_sum 'Pa1 Al2 Cu1'
_space_group_name_H-M_alt 'P 1'
_space_group_IT_number 1
_cell_length_a 4.2006
_cell_length_b 5.2952
_cell_length_c 4.3976
_cell_angle_alpha 127.02
_cell_angle_beta 90.00
_cell_angle_gamma 90.00
loop_
_space_group_symop_operation_xyz
'x,y,z'
loop_
_atom_site_label
_atom_site_fract_x
_atom_site_fract_y
_atom_site_fract_z
_atom_site_occupancy
Pa1 0.5000 0.5000 0.0000 1
Al1 0.0000 0.8133 0.6265 1
Al2 0.0000 0.1867 0.3735 1
Cu1 0.5000 0.0000 0.0000 1
```

Properties
- Space group: Cmmm
- Distance to the lowest polymorph of the same formula: 0.202 eV per atom
- Theoretical density: 7.410 g/cm3
- Calculated total energy: -5.268 eV/atom
- ΔH_f (0 K): 0.00 eV per atom